No. 1
Material: CsTh2Br8
Method: DFT, GGA-PBE
State: relaxed

## Properties
space-group type: C2/m
crystal system: monoclinic
E_form (uncorrected): -1.6497 eV per atom
total moment: 1.2 μB per cell

Lattice parameters (Å, degrees): 8.355 8.355 5.894 95.18 95.18 112.57
Atoms (fractional coordinates):
1 Cs 0.000 0.000 0.000
2 Th 0.320 0.680 0.500
3 Th 0.680 0.320 0.500
4 Br 0.052 0.328 0.566
5 Br 0.267 0.733 0.000
6 Br 0.328 0.052 0.566
7 Br 0.406 0.406 0.226
8 Br 0.594 0.594 0.774
9 Br 0.672 0.948 0.434
10 Br 0.733 0.267 0.000
11 Br 0.948 0.672 0.434



No. 2
Material: InCoPb2
Method: DFT, GGA-PBE
State: relaxed

## Properties
energy: -4.053 eV/atom
space-group type: P4/mmm
crystal system: tetragonal
total moment: 1.1 μB per cell

Lattice parameters (Å, degrees): 3.308 3.308 8.805 90.00 90.00 90.00
Atoms (fractional coordinates):
1 In 0.000 0.000 0.000
2 Co 0.000 0.000 0.500
3 Pb 0.500 0.500 0.310
4 Pb 0.500 0.500 0.690



No. 3
Material: NaAlPb
Method: DFT, GGA-PBE
State: relaxed

## Properties
energy: -2.909 eV/atom
space-group type: P6_3mc
crystal system: hexagonal
total moment: 0.0 μB per cell

Lattice parameters (Å, degrees): 4.826 4.826 7.694 90.00 90.00 120.00
Atoms (fractional coordinates):
1 Na 0.000 0.000 0.000
2 Na 0.000 0.000 0.500
3 Al 0.333 0.667 0.312
4 Al 0.667 0.333 0.812
5 Pb 0.333 0.667 0.704
6 Pb 0.667 0.333 0.204



No. 4
Material: BeIO2F
Method: DFT, GGA-PBE
State: relaxed

## Properties
space-group type: P4/mmm
crystal system: tetragonal
E_form (uncorrected): 0.2542 eV per atom
total moment: 0.9 μB per cell

Lattice parameters (Å, degrees): 4.042 4.042 5.171 90.00 90.00 90.00
Atoms (fractional coordinates):
1 Be 0.000 0.000 0.000
2 I 0.500 0.500 0.500
3 O 0.000 0.500 0.500
4 O 0.500 0.000 0.500
5 F 0.500 0.500 0.000



No. 5
Material: TcRhSeN2
Method: DFT, GGA-PBE
State: relaxed

## Properties
space-group type: P4/mmm
crystal system: tetragonal
E_form (uncorrected): 0.7854 eV per atom
total moment: 0.5 μB per cell

Lattice parameters (Å, degrees): 3.773 3.773 5.438 90.00 90.00 90.00
Atoms (fractional coordinates):
1 Tc 0.000 0.000 0.000
2 Rh 0.500 0.500 0.500
3 Se 0.000 0.000 0.500
4 N 0.000 0.500 0.000
5 N 0.500 0.000 0.000



No. 6
Material: CaTa2CuS
Method: DFT, GGA-PBE
State: relaxed

## Properties
space-group type: P4/mmm
crystal system: tetragonal
E_form (uncorrected): 1.0991 eV per atom
total moment: 1.3 μB per cell

Lattice parameters (Å, degrees): 4.697 4.697 5.157 90.00 90.00 90.00
Atoms (fractional coordinates):
1 Ca 0.000 0.000 0.000
2 Ta 0.000 0.500 0.500
3 Ta 0.500 0.000 0.500
4 Cu 0.500 0.500 0.500
5 S 0.500 0.500 0.000



No. 7
Material: Sm2PuMgN4
Method: DFT, GGA-PBE
State: relaxed

## Properties
space-group type: P2/m
crystal system: monoclinic
E_form (uncorrected): -1.1759 eV per atom
total moment: 3.9 μB per cell

Lattice parameters (Å, degrees): 5.864 3.530 5.946 90.00 107.89 90.00
Atoms (fractional coordinates):
1 Sm 0.000 0.000 0.000
2 Sm 0.500 0.500 0.000
3 Pu 0.000 0.500 0.500
4 Mg 0.500 0.000 0.500
5 N 0.235 0.500 0.268
6 N 0.245 0.000 0.735
7 N 0.755 0.000 0.265
8 N 0.765 0.500 0.732



No. 8
Material: PmPrTc4
Method: DFT, GGA-PBE
State: relaxed

## Properties
energy: -8.439 eV/atom
space-group type: F-43m
crystal system: cubic
total moment: 0.0 μB per cell

Lattice parameters (Å, degrees): 5.494 5.494 5.494 60.00 60.00 60.00
Atoms (fractional coordinates):
1 Pm 0.000 0.000 0.000
2 Pr 0.750 0.750 0.750
3 Tc 0.375 0.375 0.375
4 Tc 0.375 0.375 0.875
5 Tc 0.375 0.875 0.375
6 Tc 0.875 0.375 0.375



No. 9
Material: InSiH
Method: DFT, GGA-PBE
State: relaxed

## Properties
energy: -3.661 eV/atom
space-group type: P1
crystal system: triclinic
total moment: 0.0 μB per cell

Lattice parameters (Å, degrees): 3.786 5.065 6.512 106.38 106.36 90.30
Atoms (fractional coordinates):
1 In 0.000 0.000 0.000
2 In 0.500 0.490 0.995
3 Si 0.228 0.028 0.433
4 Si 0.786 0.845 0.554
5 H 0.298 0.331 0.574
6 H 0.726 0.538 0.434



No. 10
Material: HoEr2Ir2
Method: DFT, GGA-PBE
State: relaxed

## Properties
energy: -7.115 eV/atom
space-group type: P-3m1
crystal system: trigonal
total moment: 0.0 μB per cell

Lattice parameters (Å, degrees): 4.738 4.738 5.971 90.00 90.00 120.00
Atoms (fractional coordinates):
1 Ho 0.000 0.000 0.000
2 Er 0.333 0.667 0.663
3 Er 0.667 0.333 0.337
4 Ir 0.333 0.667 0.172
5 Ir 0.667 0.333 0.828



No. 11
Material: PmSm3As3
Method: DFT, GGA-PBE
State: relaxed

## Properties
energy: -5.969 eV/atom
space-group type: P2_13
crystal system: cubic
total moment: 0.0 μB per cell

Lattice parameters (Å, degrees): 8.934 8.934 8.934 90.00 90.00 90.00
Atoms (fractional coordinates):
1 Pm 0.066 0.434 0.566
2 Pm 0.434 0.566 0.066
3 Pm 0.566 0.066 0.434
4 Pm 0.934 0.934 0.934
5 Sm 0.067 0.567 0.933
6 Sm 0.184 0.184 0.184
7 Sm 0.184 0.816 0.316
8 Sm 0.316 0.184 0.816
9 Sm 0.316 0.816 0.684
10 Sm 0.433 0.433 0.433
11 Sm 0.567 0.933 0.067
12 Sm 0.684 0.316 0.816
13 Sm 0.684 0.684 0.684
14 Sm 0.816 0.316 0.184
15 Sm 0.816 0.684 0.316
16 Sm 0.933 0.067 0.567
17 As 0.000 0.251 0.875
18 As 0.000 0.751 0.625
19 As 0.125 0.500 0.249
20 As 0.249 0.125 0.500
21 As 0.251 0.875 0.000
22 As 0.375 0.500 0.749
23 As 0.500 0.249 0.125
24 As 0.500 0.749 0.375
25 As 0.625 0.000 0.751
26 As 0.749 0.375 0.500
27 As 0.751 0.625 0.000
28 As 0.875 0.000 0.251



No. 12
Material: Ti2NbTcH
Method: DFT, GGA-PBE
State: relaxed

## Properties
energy: -8.052 eV/atom
space-group type: P4/mmm
crystal system: tetragonal
total moment: 0.0 μB per cell

Lattice parameters (Å, degrees): 3.811 3.811 4.675 90.00 90.00 90.00
Atoms (fractional coordinates):
1 Ti 0.000 0.500 0.000
2 Ti 0.500 0.000 0.000
3 Nb 0.000 0.000 0.500
4 Tc 0.500 0.500 0.500
5 H 0.000 0.000 0.000